1.
{"formula": "Nd2NbAl2Ru5", "functional": "PBE", "state": "relaxed", "lattice": [[10.288, 0.000, 0.000], [0.000, 10.288, 0.000], [0.000, 0.000, 3.312]], "species": ["Nd", "Nd", "Nd", "Nd", "Nb", "Nb", "Al", "Al", "Al", "Al", "Ru", "Ru", "Ru", "Ru", "Ru", "Ru", "Ru", "Ru", "Ru", "Ru"], "frac_coords": [[0.173, 0.327, 0.000], [0.327, 0.827, 0.000], [0.673, 0.173, 0.000], [0.827, 0.673, 0.000], [0.000, 0.000, 0.000], [0.500, 0.500, 0.000], [0.126, 0.626, 0.000], [0.374, 0.126, 0.000], [0.626, 0.874, 0.000], [0.874, 0.374, 0.000], [0.000, 0.500, 0.500], [0.065, 0.801, 0.500], [0.199, 0.065, 0.500], [0.301, 0.565, 0.500], [0.435, 0.301, 0.500], [0.500, 0.000, 0.500], [0.565, 0.699, 0.500], [0.699, 0.435, 0.500], [0.801, 0.935, 0.500], [0.935, 0.199, 0.500]], "vol_a3_per_atom": 17.53, "spacegroup": "P4/mbm", "formation_energy_ev_per_atom": -0.3391}

***

2.
{"formula": "Nd5HoMg5", "functional": "PBE", "state": "relaxed", "lattice": [[9.128, -2.947, 0.000], [9.128, 2.947, 0.000], [-2.500, 0.000, 6.297]], "species": ["Nd", "Nd", "Nd", "Nd", "Nd", "Ho", "Mg", "Mg", "Mg", "Mg", "Mg"], "frac_coords": [[0.000, 0.000, 0.000], [0.315, 0.315, 0.315], [0.367, 0.367, 0.866], [0.633, 0.633, 0.134], [0.685, 0.685, 0.685], [0.000, 0.000, 0.500], [0.167, 0.167, 0.435], [0.167, 0.167, 0.900], [0.500, 0.500, 0.500], [0.833, 0.833, 0.100], [0.833, 0.833, 0.565]], "vol_a3_per_atom": 30.80, "spacegroup": "C2/m", "formation_energy_ev_per_atom": 0.1346}

***

3.
{"formula": "KLiBiCl6", "functional": "PBE", "state": "relaxed", "lattice": [[6.789, 0.000, 0.000], [-3.394, 5.879, 0.000], [0.000, 0.000, 6.998]], "species": ["K", "Li", "Bi", "Cl", "Cl", "Cl", "Cl", "Cl", "Cl"], "frac_coords": [[0.000, 0.000, 0.000], [0.667, 0.333, 0.500], [0.333, 0.667, 0.500], [0.376, 0.005, 0.716], [0.376, 0.370, 0.284], [0.630, 0.005, 0.284], [0.630, 0.624, 0.716], [0.995, 0.370, 0.716], [0.995, 0.624, 0.284]], "vol_a3_per_atom": 31.03, "e_form_raw_kj_per_mol_atoms": -120, "spacegroup": "P312"}

***

4.
{"formula": "CaRe2Cl", "functional": "PBE", "state": "relaxed", "lattice": [[0.000, 3.282, 3.282], [3.282, 0.000, 3.282], [3.282, 3.282, 0.000]], "species": ["Ca", "Re", "Re", "Cl"], "frac_coords": [[0.000, 0.000, 0.000], [0.250, 0.250, 0.250], [0.500, 0.500, 0.500], [0.750, 0.750, 0.750]], "vol_a3_per_atom": 17.68, "e_form_raw_kj_per_mol_atoms": 85, "spacegroup": "F-43m", "de_polymorph_kj_per_mol_atoms": 97.58}

***

5.
{"formula": "BaPu2MnN4", "functional": "PBE", "state": "relaxed", "lattice": [[1.762, -6.056, 0.000], [1.762, 6.056, 0.000], [0.000, 0.000, 11.654]], "species": ["Ba", "Ba", "Pu", "Pu", "Pu", "Pu", "Mn", "Mn", "N", "N", "N", "N", "N", "N", "N", "N"], "frac_coords": [[0.091, 0.909, 0.750], [0.909, 0.091, 0.250], [0.369, 0.631, 0.547], [0.369, 0.631, 0.953], [0.631, 0.369, 0.047], [0.631, 0.369, 0.453], [0.176, 0.824, 0.250], [0.824, 0.176, 0.750], [0.000, 0.000, 0.000], [0.000, 0.000, 0.500], [0.249, 0.751, 0.109], [0.249, 0.751, 0.391], [0.393, 0.607, 0.750], [0.607, 0.393, 0.250], [0.751, 0.249, 0.609], [0.751, 0.249, 0.891]], "vol_a3_per_atom": 15.55, "e_form_raw_kj_per_mol_atoms": -92, "spacegroup": "Cmcm"}

***

6.
{"formula": "ErMnZn4", "functional": "PBE", "state": "relaxed", "lattice": [[0.000, 3.656, 3.656], [3.656, 0.000, 3.656], [3.656, 3.656, 0.000]], "species": ["Er", "Mn", "Zn", "Zn", "Zn", "Zn"], "frac_coords": [[0.000, 0.000, 0.000], [0.750, 0.750, 0.750], [0.376, 0.376, 0.376], [0.376, 0.376, 0.872], [0.376, 0.872, 0.376], [0.872, 0.376, 0.376]], "vol_a3_per_atom": 16.29, "spacegroup": "F-43m", "formation_energy_ev_per_atom": -0.1391}

***

7.
{"formula": "NaSrTa2", "functional": "PBE", "state": "relaxed", "lattice": [[-2.016, 2.016, 11.915], [2.016, -2.016, 11.915], [2.016, 2.016, -11.915]], "species": ["Na", "Na", "Sr", "Sr", "Ta", "Ta", "Ta", "Ta"], "frac_coords": [[0.000, 0.000, 0.000], [0.750, 0.250, 0.500], [0.250, 0.750, 0.500], [0.500, 0.500, 0.000], [0.118, 0.125, 0.493], [0.375, 0.882, 0.007], [0.632, 0.625, 0.507], [0.875, 0.368, 0.993]], "vol_a3_per_atom": 24.21, "spacegroup": "I-42d", "formation_energy_ev_per_atom": 1.2069, "de_polymorph_kj_per_mol_atoms": 0.00}

***

8.
{"formula": "Er8Cu2Ag", "functional": "PBE", "state": "relaxed", "lattice": [[4.204, -6.633, 0.000], [4.204, 6.633, 0.000], [-1.582, 0.000, 5.215]], "species": ["Er", "Er", "Er", "Er", "Er", "Er", "Er", "Er", "Cu", "Cu", "Ag"], "frac_coords": [[0.084, 0.335, 0.600], [0.231, 0.769, 0.000], [0.335, 0.084, 0.600], [0.384, 0.384, 0.194], [0.616, 0.616, 0.806], [0.665, 0.916, 0.400], [0.769, 0.231, 0.000], [0.916, 0.665, 0.400], [0.306, 0.694, 0.500], [0.694, 0.306, 0.500], [0.000, 0.000, 0.000]], "vol_a3_per_atom": 26.44, "spacegroup": "C2/m", "formation_energy_ev_per_atom": -0.0142}

***

9.
{"formula": "UGeOs", "functional": "PBE", "state": "relaxed", "lattice": [[4.424, 0.000, 0.000], [-2.212, 3.831, 0.000], [0.000, 0.000, 3.228]], "species": ["U", "Ge", "Os"], "frac_coords": [[0.000, 0.000, 0.000], [0.667, 0.333, 0.500], [0.333, 0.667, 0.500]], "vol_a3_per_atom": 18.24, "spacegroup": "P-6m2", "formation_energy_ev_per_atom": -0.2676}

***

10.
{"formula": "C3Se", "functional": "PBE", "state": "relaxed", "lattice": [[4.336, 0.000, 0.000], [0.000, 4.336, 0.000], [0.000, 0.000, 4.336]], "species": ["C", "C", "C", "C", "C", "C", "Se", "Se"], "frac_coords": [[0.000, 0.250, 0.500], [0.000, 0.750, 0.500], [0.250, 0.500, 0.000], [0.500, 0.000, 0.250], [0.500, 0.000, 0.750], [0.750, 0.500, 0.000], [0.000, 0.000, 0.000], [0.500, 0.500, 0.500]], "vol_a3_per_atom": 10.19, "e_form_raw_kj_per_mol_atoms": 365, "spacegroup": "Pm-3n", "de_polymorph_kj_per_mol_atoms": 237.24}

***

11.
{"formula": "TlGaCu3", "functional": "PBE", "state": "relaxed", "lattice": [[4.952, 0.000, 0.000], [0.000, 4.952, 0.000], [0.000, 0.000, 4.952]], "species": ["Tl", "Ga", "Cu", "Cu", "Cu"], "frac_coords": [[0.000, 0.000, 0.000], [0.500, 0.500, 0.500], [0.000, 0.000, 0.500], [0.000, 0.500, 0.000], [0.500, 0.000, 0.000]], "vol_a3_per_atom": 24.29, "spacegroup": "Pm-3m", "formation_energy_ev_per_atom": 0.8835, "de_polymorph_kj_per_mol_atoms": 42.37}

***

12.
{"formula": "YCuSb2", "functional": "PBE", "state": "relaxed", "lattice": [[0.000, 3.634, 3.634], [3.634, 0.000, 3.634], [3.634, 3.634, 0.000]], "species": ["Y", "Cu", "Sb", "Sb"], "frac_coords": [[0.000, 0.000, 0.000], [0.500, 0.500, 0.500], [0.250, 0.250, 0.250], [0.750, 0.750, 0.750]], "vol_a3_per_atom": 24.00, "e_form_raw_kj_per_mol_atoms": -14, "spacegroup": "Fm-3m", "de_polymorph_kj_per_mol_atoms": 46.07}

***

13.
{"formula": "Rb7Au2ClO2", "functional": "PBE", "state": "relaxed", "lattice": [[-2.428, 12.921, 3.689], [2.428, -12.921, 3.689], [2.428, 12.921, -3.689]], "species": ["Rb", "Rb", "Rb", "Rb", "Rb", "Rb", "Rb", "Au", "Au", "Cl", "O", "O"], "frac_coords": [[0.000, 0.000, 0.000], [0.071, 0.457, 0.614], [0.397, 0.476, 0.921], [0.399, 0.194, 0.204], [0.555, 0.476, 0.079], [0.842, 0.457, 0.386], [0.990, 0.194, 0.796], [0.491, 0.689, 0.802], [0.888, 0.689, 0.198], [0.671, 0.171, 0.500], [0.037, 0.137, 0.900], [0.236, 0.137, 0.100]], "vol_a3_per_atom": 38.57, "e_form_raw_kj_per_mol_atoms": -83, "spacegroup": "Imm2"}

***

14.
{"formula": "La6DyAl2", "functional": "PBE", "state": "relaxed", "lattice": [[6.631, -1.916, 0.000], [6.631, 1.916, 0.000], [-3.734, 0.000, 11.372]], "species": ["La", "La", "La", "La", "La", "La", "Dy", "Al", "Al"], "frac_coords": [[0.032, 0.032, 0.328], [0.307, 0.307, 0.400], [0.321, 0.321, 0.122], [0.679, 0.679, 0.878], [0.693, 0.693, 0.600], [0.968, 0.968, 0.672], [0.000, 0.000, 0.000], [0.352, 0.352, 0.815], [0.648, 0.648, 0.185]], "vol_a3_per_atom": 32.11, "spacegroup": "C2/m", "formation_energy_ev_per_atom": -0.1495}

***

15.
{"formula": "Cs2ErNp2Te6", "functional": "PBE", "state": "relaxed", "lattice": [[3.877, -6.707, 0.000], [3.877, 6.707, 0.000], [-2.591, 0.000, 9.159]], "species": ["Cs", "Cs", "Er", "Np", "Np", "Te", "Te", "Te", "Te", "Te", "Te"], "frac_coords": [[0.167, 0.833, 0.000], [0.833, 0.167, 0.000], [0.000, 0.000, 0.500], [0.333, 0.667, 0.500], [0.667, 0.333, 0.500], [0.064, 0.394, 0.687], [0.270, 0.270, 0.313], [0.394, 0.064, 0.687], [0.606, 0.936, 0.313], [0.730, 0.730, 0.687], [0.936, 0.606, 0.313]], "vol_a3_per_atom": 43.30, "e_form_raw_kj_per_mol_atoms": -97, "spacegroup": "C2/m"}

***

16.
{"formula": "SnAs2Rh8", "functional": "PBE", "state": "relaxed", "lattice": [[-2.005, 3.411, 6.131], [2.005, -3.411, 6.131], [2.005, 3.411, -6.131]], "species": ["Sn", "As", "As", "Rh", "Rh", "Rh", "Rh", "Rh", "Rh", "Rh", "Rh"], "frac_coords": [[0.000, 0.000, 0.000], [0.324, 0.324, 0.000], [0.676, 0.676, 0.000], [0.106, 0.830, 0.276], [0.147, 0.647, 0.500], [0.300, 0.500, 0.800], [0.447, 0.170, 0.276], [0.553, 0.830, 0.724], [0.700, 0.500, 0.200], [0.853, 0.353, 0.500], [0.894, 0.170, 0.724]], "vol_a3_per_atom": 15.25, "spacegroup": "Immm", "formation_energy_ev_per_atom": -0.2464}

***

17.
{"formula": "CsAlFe2I8", "functional": "PBE", "state": "relaxed", "lattice": [[5.928, -4.030, 0.000], [5.928, 4.030, 0.000], [-1.469, 0.000, 10.911]], "species": ["Cs", "Al", "Fe", "Fe", "I", "I", "I", "I", "I", "I", "I", "I"], "frac_coords": [[0.000, 0.000, 0.000], [0.000, 0.000, 0.500], [0.382, 0.382, 0.698], [0.618, 0.618, 0.302], [0.223, 0.732, 0.313], [0.234, 0.234, 0.499], [0.268, 0.777, 0.687], [0.320, 0.320, 0.912], [0.680, 0.680, 0.088], [0.732, 0.223, 0.313], [0.766, 0.766, 0.501], [0.777, 0.268, 0.687]], "vol_a3_per_atom": 43.44, "e_form_raw_kj_per_mol_atoms": -45, "spacegroup": "C2/m"}

***

18.
{"formula": "Mg4Ir2Au", "functional": "PBE", "state": "relaxed", "lattice": [[-3.179, 3.179, 3.112], [3.179, -3.179, 3.112], [3.179, 3.179, -3.112]], "species": ["Mg", "Mg", "Mg", "Mg", "Ir", "Ir", "Au"], "frac_coords": [[0.000, 0.000, 0.500], [0.000, 0.500, 0.000], [0.500, 0.000, 0.000], [0.500, 0.500, 0.500], [0.000, 0.500, 0.500], [0.500, 0.000, 0.500], [0.000, 0.000, 0.000]], "vol_a3_per_atom": 17.97, "spacegroup": "I4/mmm", "formation_energy_ev_per_atom": -0.3628}

***

19.
{"formula": "Nd2Y3Tm3", "functional": "PBE", "state": "relaxed", "lattice": [[8.070, -2.887, 0.000], [8.070, 2.887, 0.000], [-2.188, 0.000, 5.562]], "species": ["Nd", "Nd", "Y", "Y", "Y", "Tm", "Tm", "Tm"], "frac_coords": [[0.249, 0.249, 0.309], [0.751, 0.751, 0.691], [0.372, 0.372, 0.919], [0.500, 0.500, 0.500], [0.628, 0.628, 0.081], [0.000, 0.000, 0.000], [0.127, 0.127, 0.673], [0.873, 0.873, 0.327]], "vol_a3_per_atom": 32.39, "spacegroup": "C2/m", "formation_energy_ev_per_atom": 0.0967, "de_polymorph_kj_per_mol_atoms": 0.00}

***

20.
{"formula": "ScNi2P", "functional": "PBE", "state": "relaxed", "lattice": [[0.000, 2.987, 2.987], [2.987, 0.000, 2.987], [2.987, 2.987, 0.000]], "species": ["Sc", "Ni", "Ni", "P"], "frac_coords": [[0.000, 0.000, 0.000], [0.250, 0.250, 0.250], [0.500, 0.500, 0.500], [0.750, 0.750, 0.750]], "vol_a3_per_atom": 13.32, "spacegroup": "F-43m", "formation_energy_ev_per_atom": -0.4258, "de_polymorph_kj_per_mol_atoms": 43.89}

***

21.
{"formula": "TaP2PtO", "functional": "PBE", "state": "relaxed", "lattice": [[4.910, 0.000, 0.000], [0.000, 4.910, 0.000], [0.000, 0.000, 3.774]], "species": ["Ta", "P", "P", "Pt", "O"], "frac_coords": [[0.000, 0.000, 0.000], [0.000, 0.500, 0.000], [0.500, 0.000, 0.000], [0.500, 0.500, 0.500], [0.000, 0.000, 0.500]], "vol_a3_per_atom": 18.20, "e_form_raw_kj_per_mol_atoms": -16, "spacegroup": "P4/mmm", "de_polymorph_kj_per_mol_atoms": 0.00}

***

22.
{"formula": "Zn2InSi", "functional": "PBE", "state": "relaxed", "lattice": [[4.859, 0.000, 0.000], [0.000, 4.859, 0.000], [0.000, 0.000, 3.165]], "species": ["Zn", "Zn", "In", "Si"], "frac_coords": [[0.000, 0.500, 0.000], [0.500, 0.000, 0.000], [0.000, 0.000, 0.500], [0.500, 0.500, 0.500]], "vol_a3_per_atom": 18.68, "e_form_raw_kj_per_mol_atoms": 34, "spacegroup": "P4/mmm", "de_polymorph_kj_per_mol_atoms": 13.39}

***

23.
{"formula": "Ac3Ga4Au2", "functional": "PBE", "state": "relaxed", "lattice": [[5.817, -2.352, 0.000], [5.817, 2.352, 0.000], [-2.944, 0.000, 8.530]], "species": ["Ac", "Ac", "Ac", "Ga", "Ga", "Ga", "Ga", "Au", "Au"], "frac_coords": [[0.000, 0.000, 0.000], [0.325, 0.325, 0.345], [0.675, 0.675, 0.655], [0.027, 0.027, 0.366], [0.260, 0.260, 0.924], [0.740, 0.740, 0.076], [0.973, 0.973, 0.634], [0.398, 0.398, 0.727], [0.602, 0.602, 0.273]], "vol_a3_per_atom": 25.94, "spacegroup": "C2/m", "formation_energy_ev_per_atom": -0.6941}

***

24.
{"formula": "CaScAg2", "functional": "PBE", "state": "relaxed", "lattice": [[3.637, 0.000, 0.000], [0.000, 3.637, 0.000], [0.000, 0.000, 7.158]], "species": ["Ca", "Sc", "Ag", "Ag"], "frac_coords": [[0.000, 0.000, 0.000], [0.500, 0.500, 0.356], [0.000, 0.000, 0.542], [0.500, 0.500, 0.757]], "vol_a3_per_atom": 23.67, "spacegroup": "P4mm", "formation_energy_ev_per_atom": -0.1293}